(1)
Computed, not measured: crystalline MgSO4 at its relaxed geometry at the GGA-PBEsol level of DFT.

abc: 4.7579 6.6843 8.6124
angles: 90.00 90.00 90.00
With the nearest neighbours (Å) after each atom.
Sites, in units of the cell vectors:
O: 0.0369 0.2500 0.1467  1 S 1.51
O: 0.6626 0.5672 0.1252  1 S 1.46
S: 0.4767 0.2500 0.8213  4 O 1.46-1.51
O: 0.7743 0.2500 0.8761  1 S 1.49
S: 0.0233 0.2500 0.3213  4 O 1.46-1.51
O: 0.1626 0.4328 0.3748  1 S 1.46
O: 0.6626 0.9328 0.1252  1 S 1.46
Mg: 0.5000 0.5000 0.5000  4 O 1.99-2.10
Mg: 0.0000 0.5000 0.0000  4 O 1.99-2.10
Mg: 0.5000 0.0000 0.5000  4 O 1.99-2.10
O: 0.8374 0.5672 0.6252  1 S 1.46
O: 0.7257 0.2500 0.3761  1 S 1.49
S: 0.9767 0.7500 0.6787  4 O 1.46-1.51
O: 0.1626 0.0672 0.3748  1 S 1.46
O: 0.2743 0.7500 0.6239  1 S 1.49
O: 0.2257 0.7500 0.1239  1 S 1.49
O: 0.3374 0.0672 0.8748  1 S 1.46
Mg: 0.0000 0.0000 0.0000  4 O 1.99-2.10
O: 0.5370 0.7500 0.3533  1 S 1.51
O: 0.3374 0.4328 0.8748  1 S 1.46
O: 0.4630 0.2500 0.6467  1 S 1.51
S: 0.5233 0.7500 0.1787  4 O 1.46-1.51
O: 0.8374 0.9328 0.6252  1 S 1.46
O: 0.9630 0.7500 0.8533  1 S 1.51

Results
- space-group type = Pnma (62)
- formation energy without anion corrections (eV per atom) = -1.990
- Fermi-level density of states (states/eV per cell) = 0.0


(2)
Computed, not measured: crystalline MgSO3 at its relaxed geometry at the GGA-PBEsol level of DFT.

abc: 5.2768 8.0306 11.9774
angles: 90.00 90.00 100.55
With the nearest neighbours (Å) after each atom.
Sites, in units of the cell vectors:
O: 0.7276 0.0081 0.7337  1 S 1.56
S: 0.9220 0.7589 0.9817  3 O 1.54-1.55
O: 0.5372 0.8257 0.1594  1 S 1.55
O: 0.9596 0.7385 0.5997  1 S 1.54
O: 0.8925 0.3398 0.0798  1 S 1.55
O: 0.3298 0.8724 0.4861  1 S 1.54
O: 0.9596 0.2385 0.9003  1 S 1.54
O: 0.5372 0.3257 0.3406  1 S 1.55
O: 0.4628 0.1743 0.8406  1 S 1.55
Mg: 0.1079 0.6575 0.7460  6 O 2.07-2.18
O: 0.2590 0.4226 0.7396  1 S 1.55
O: 0.7276 0.5081 0.7663  1 S 1.56
O: 0.6702 0.6276 0.9861  1 S 1.54
O: 0.1075 0.6602 0.9202  1 S 1.55
S: 0.0780 0.2411 0.0183  3 O 1.54-1.55
S: 0.0780 0.7411 0.4817  3 O 1.54-1.55
Mg: 0.8921 0.8425 0.2460  6 O 2.07-2.18
O: 0.7410 0.0774 0.2396  1 S 1.55
Mg: 0.6630 0.8837 0.5781  5 O 2.06-2.13
O: 0.0404 0.2615 0.4003  1 S 1.54
O: 0.7410 0.5774 0.2604  1 S 1.55
O: 0.3298 0.3724 0.0139  1 S 1.54
O: 0.2724 0.9919 0.2663  1 S 1.56
Mg: 0.1079 0.1575 0.7540  6 O 2.07-2.18
Mg: 0.6630 0.3837 0.9219  5 O 2.06-2.13
O: 0.8925 0.8398 0.4202  1 S 1.55
O: 0.0404 0.7615 0.0997  1 S 1.54
S: 0.4876 0.0080 0.1758  3 O 1.55-1.56
S: 0.4876 0.5080 0.3242  3 O 1.55-1.56
O: 0.4628 0.6743 0.6594  1 S 1.55
S: 0.9220 0.2589 0.5183  3 O 1.54-1.55
O: 0.1075 0.1602 0.5798  1 S 1.55
O: 0.2590 0.9226 0.7604  1 S 1.55
O: 0.6702 0.1276 0.5139  1 S 1.54
Mg: 0.8921 0.3425 0.2540  6 O 2.07-2.18
S: 0.5124 0.9920 0.8242  3 O 1.55-1.56
Mg: 0.3370 0.1163 0.4219  5 O 2.06-2.13
S: 0.5124 0.4920 0.6758  3 O 1.55-1.56
O: 0.2724 0.4919 0.2337  1 S 1.56
Mg: 0.3370 0.6163 0.0781  5 O 2.06-2.13

Results
- space-group type = P2_1/c (14)
- formation energy without anion corrections (eV per atom) = -1.903
- Fermi-level density of states (states/eV per cell) = 0.0


(3)
Computed, not measured: crystalline MgS2O at its relaxed geometry at the GGA-PBEsol level of DFT.

abc: 4.9870 4.9870 6.7568
angles: 111.66 111.66 90.00
With the nearest neighbours (Å) after each atom.
Sites, in units of the cell vectors:
S: 0.1250 0.2266 0.7500  2 O 2.04
O: 0.5000 0.5000 0.0000  4 S 2.04
S: 0.7734 0.3750 0.2500  2 O 2.04
S: 0.6250 0.5234 0.7500  2 O 2.04
S: 0.4766 0.8750 0.2500  2 O 2.04
Mg: 0.2500 0.7500 0.5000  4 S 2.59
Mg: 0.0000 0.0000 0.0000  4 S 2.59
O: 0.7500 0.2500 0.5000  4 S 2.04

Results
- space-group type = I-42d (122)
- formation energy without anion corrections (eV per atom) = -0.152
- Fermi-level density of states (states/eV per cell) = 2.8


(4)
Computed, not measured: crystalline MgSO3 at its relaxed geometry at the GGA-PBEsol level of DFT.

abc: 7.7103 7.7103 7.7103
angles: 109.34 109.34 109.34
With the nearest neighbours (Å) after each atom.
Sites, in units of the cell vectors:
O: 0.3891 0.6391 0.0921  1 S 1.54
S: 0.2911 0.4721 0.1494  3 O 1.54-1.55
S: 0.8506 0.7089 0.5279  3 O 1.54-1.55
O: 0.6109 0.3609 0.9079  1 S 1.54
O: 0.1590 0.2637 0.9348  1 S 1.55
O: 0.4843 0.8140 0.8798  1 S 1.55
O: 0.9079 0.6109 0.3609  1 S 1.54
O: 0.7363 0.0652 0.8410  1 S 1.55
O: 0.6391 0.0921 0.3891  1 S 1.54
Mg: 0.8124 0.3129 0.1287  6 O 2.07-2.16
Mg: 0.6871 0.8713 0.1876  6 O 2.07-2.16
O: 0.8410 0.7363 0.0652  1 S 1.55
O: 0.5157 0.1860 0.1202  1 S 1.55
S: 0.4721 0.1494 0.2911  3 O 1.54-1.55
O: 0.8140 0.8798 0.4843  1 S 1.55
O: 0.2637 0.9348 0.1590  1 S 1.55
S: 0.5279 0.8506 0.7089  3 O 1.54-1.55
O: 0.3609 0.9079 0.6109  1 S 1.54
S: 0.1494 0.2911 0.4721  3 O 1.54-1.55
O: 0.1860 0.1202 0.5157  1 S 1.55
Mg: 0.1876 0.6871 0.8713  6 O 2.07-2.16
Mg: 0.8713 0.1876 0.6871  6 O 2.07-2.16
O: 0.0921 0.3891 0.6391  1 S 1.54
S: 0.7089 0.5279 0.8506  3 O 1.54-1.55
Mg: 0.1287 0.8124 0.3129  6 O 2.07-2.16
O: 0.8798 0.4843 0.8140  1 S 1.55
O: 0.1202 0.5157 0.1860  1 S 1.55
O: 0.0652 0.8410 0.7363  1 S 1.55
O: 0.9348 0.1590 0.2637  1 S 1.55
Mg: 0.3129 0.1287 0.8124  6 O 2.07-2.16

Results
- space-group type = R-3 (148)
- formation energy without anion corrections (eV per atom) = -1.916
- Fermi-level density of states (states/eV per cell) = 0.0